# 1
{
  "formula": "Zn5Mo4",
  "functional": "SCAN",
  "state": "PBEsol geometry",
  "magmom_total_mub_per_fu": 0.0,
  "crystal_system": "tetragonal",
  "dft_energy_ev_per_cell": -206.9,
  "ef_ev_per_fu": 0.26,
  "lattice_angstrom": [[3.2927, 0.0000, 0.0000], [1.6464, 6.2685, 0.0000], [1.6464, 0.0000, 6.2685]],
  "species": ["Zn", "Mo", "Zn", "Zn", "Zn", "Mo", "Zn", "Mo", "Mo"],
  "frac_coords": [[0.6691, 0.6619, 0.0000], [0.0000, 0.3323, 0.6677], [0.6691, 0.0000, 0.6619], [0.3309, 0.0000, 0.3381], [0.0000, 0.0000, 0.0000], [0.3323, 0.6677, 0.6677], [0.3309, 0.3381, 0.0000], [0.0000, 0.6677, 0.3323], [0.6677, 0.3323, 0.3323]]
}

***

# 2
{
  "formula": "ZnMo2",
  "functional": "SCAN",
  "state": "PBEsol geometry",
  "magmom_total_mub_per_fu": 0.0,
  "polymorph_energy_kj_per_mol_fu": 60,
  "crystal_system": "monoclinic",
  "dft_energy_ev_per_cell": -165.1,
  "ef_ev_per_fu": 0.73,
  "lattice_angstrom": [[2.5841, 0.0000, 0.0000], [-1.2921, 5.2815, 0.0098], [0.0000, -1.5527, 6.5432]],
  "species": ["Mo", "Mo", "Zn", "Mo", "Zn", "Mo"],
  "frac_coords": [[0.9742, 0.9484, 0.6836], [0.6359, 0.2718, 0.0203], [0.7025, 0.4050, 0.6432], [0.0258, 0.0516, 0.3164], [0.2975, 0.5950, 0.3568], [0.3641, 0.7282, 0.9797]]
}

***

# 3
{
  "formula": "Zn3Mo",
  "functional": "SCAN",
  "state": "PBEsol geometry",
  "magmom_total_mub_per_fu": 0.0,
  "crystal_system": "orthorhombic",
  "dft_energy_ev_per_cell": -75.3,
  "ef_ev_per_fu": 0.10,
  "lattice_angstrom": [[2.6737, 0.0000, 0.0000], [0.0000, 4.7892, 0.0195], [0.0000, -1.8443, 4.4198]],
  "species": ["Zn", "Zn", "Mo", "Zn"],
  "frac_coords": [[0.0000, 0.5000, 0.5000], [0.5000, 0.0000, 0.5000], [0.0000, 0.0000, 0.0000], [0.5000, 0.5000, 0.0000]]
}